This record from Alexandria describes a relaxed structure of TiInBi2. The functional is PBE-GGA.

Lattice parameters (Å, degrees): 6.6899 6.6899 13.3678 90.00 90.00 90.00
With the nearest neighbours (Å) after each atom.
Space group I-42d (No. 122)
Inequivalent atoms, fractional coordinates:
Ti (0.0000, 0.0000, 0.0000) [4 per cell]  4 Bi 2.76
In (0.0000, 0.0000, 0.5000) [4 per cell]  4 Bi 3.05
Bi (0.2129, 0.2500, 0.1250) [8 per cell]  2 Ti 2.76, 2 In 3.05

Values from the calculation:
total magnetization: 0.00 μB per formula unit
total DFT energy (no corrections): -69.07 eV/cell

***

This record from Alexandria describes a relaxed structure of TiInBi2. The functional is PBE-GGA.

Lattice parameters (Å, degrees): 3.3735 3.3735 34.1138 90.00 90.00 120.00
With the nearest neighbours (Å) after each atom.
Space group R-3m (No. 166, hexagonal axes)
Inequivalent atoms, fractional coordinates:
Ti (0.0000, 0.0000, 0.0000) [3 per cell]  6 Bi 2.99
In (0.0000, 0.0000, 0.5000) [3 per cell]  6 In 3.37, 2 Bi 3.41
Bi (0.0000, 0.0000, 0.4000) [6 per cell]  3 Ti 2.99

Values from the calculation:
total magnetization: 0.00 μB per formula unit
total DFT energy (no corrections): -55.07 eV/cell

***

This record from Alexandria describes a relaxed structure of TiIn2Bi. The functional is PBE-GGA.

Lattice parameters (Å, degrees): 8.4141 8.4141 5.9132 90.00 90.00 90.00
With the nearest neighbours (Å) after each atom.
Space group I-42d (No. 122)
Inequivalent atoms, fractional coordinates:
Ti (0.0000, 0.0000, 0.0000) [4 per cell]  4 In 2.93, 2 Bi 2.96
In (0.2263, 0.2500, 0.1250) [8 per cell]  2 Ti 2.93, 2 In 2.98, 2 Bi 3.21
Bi (0.0000, 0.0000, 0.5000) [4 per cell]  2 Ti 2.96, 4 In 3.21

Values from the calculation:
total magnetization: 1.04 μB per formula unit
total DFT energy (no corrections): -64.67 eV/cell

***

This record from Alexandria describes a relaxed structure of TiInBi3. The functional is PBE-GGA.

Lattice parameters (Å, degrees): 5.6649 5.6649 5.6649 90.00 90.00 90.00
With the nearest neighbours (Å) after each atom.
Space group Pm-3m (No. 221)
Inequivalent atoms, fractional coordinates:
Ti (0.0000, 0.0000, 0.0000) [1 per cell]  12 Bi 4.01
In (0.5000, 0.5000, 0.5000) [1 per cell]  6 Bi 2.83
Bi (0.0000, 0.5000, 0.5000) [3 per cell]  2 In 2.83

Values from the calculation:
total magnetization: 0.05 μB per formula unit
total DFT energy (no corrections): -16.67 eV/cell

***

Number 1: DOS at the Fermi energy 3.0 states/eV/f.u., ΔE_f 0.28 eV per atom. Number 2: DOS at the Fermi energy 2.9 states/eV/f.u., ΔE_f 0.01 eV per atom. Number 3: DOS at the Fermi energy 3.6 states/eV/f.u., ΔE_f 0.27 eV per atom. Number 4: DOS at the Fermi energy 12.4 states/eV/f.u., ΔE_f 1.12 eV per atom.